# HfAsOsAu | OQMD | GGA-PBE | optimized geometry
# energy above the lowest structure with this stoichiometry = 104.4 meV per atom
# space-group type = F-43m (216)
# calculated total energy = -7.20 eV per atom
data_HfAsOsAu
_chemical_formula_sum 'Hf1 As1 Os1 Au1'
_cell_length_a 4.6331
_cell_length_b 4.6331
_cell_length_c 4.6331
_cell_angle_alpha 60.00
_cell_angle_beta 60.00
_cell_angle_gamma 60.00
_symmetry_space_group_name_H-M 'P 1'
_symmetry_Int_Tables_number 1
loop_
_symmetry_equiv_pos_as_xyz
'x,y,z'
loop_
_atom_site_label
_atom_site_type_symbol
_atom_site_fract_x
_atom_site_fract_y
_atom_site_fract_z
As1 As 0.0000 0.0000 0.0000
Au1 Au 0.7500 0.7500 0.7500
Hf1 Hf 0.5000 0.5000 0.5000
Os1 Os 0.2500 0.2500 0.2500